An optimized crystal structure of ErNpCu2O8. Source: Alexandria via LeMat-Bulk, functional PBE.

Lattice parameters (Å, degrees): 5.8551 5.8551 5.8551 109.60 109.60 109.21
With the nearest neighbours (Å) after each atom.
Positions (direct):
Er 0.0000 0.0000 0.0000  8 O 2.22-2.43
Np 0.7500 0.2500 0.5000  4 O 2.05
Cu 0.2500 0.7500 0.5000  4 O 1.82
Cu 0.5000 0.5000 0.0000  4 O 1.93
O 0.0446 0.3708 0.3261  1 Cu 1.82
O 0.0446 0.7185 0.6739  1 Cu 1.82
O 0.0976 0.2981 0.7995  1 Cu 1.93, 1 Np 2.05
O 0.2815 0.9554 0.3261  1 Cu 1.82
O 0.4987 0.2981 0.2005  1 Cu 1.93, 1 Np 2.05
O 0.6292 0.9554 0.6739  1 Cu 1.82
O 0.7019 0.5013 0.7995  1 Cu 1.93, 1 Np 2.05
O 0.7019 0.9024 0.2005  1 Cu 1.93, 1 Np 2.05

Values from the calculation:
Its total energy is -7.107 eV/atom. Its uncorrected formation energy is -1.66 eV per atom. The crystal system is tetragonal.

***

An optimized crystal structure of DyHo4Ni4. Source: Alexandria via LeMat-Bulk, functional PBE.

Lattice parameters (Å, degrees): 8.4887 8.4887 5.5874 90.00 90.00 90.00
With the nearest neighbours (Å) after each atom.
Positions (direct):
Dy 0.2500 0.2500 0.2500  4 Ni 2.67
Dy 0.7500 0.7500 0.7500  4 Ni 2.67
Ho 0.0662 0.6640 0.1496  5 Ni 2.68-2.94
Ho 0.1640 0.9338 0.6496  5 Ni 2.68-2.94
Ho 0.3360 0.5662 0.6496  5 Ni 2.68-2.94
Ho 0.4338 0.8360 0.1496  5 Ni 2.68-2.94
Ho 0.5662 0.1640 0.8504  5 Ni 2.68-2.94
Ho 0.6640 0.4338 0.3504  5 Ni 2.68-2.94
Ho 0.8360 0.0662 0.3504  5 Ni 2.68-2.94
Ho 0.9338 0.3360 0.8504  5 Ni 2.68-2.94
Ni 0.0249 0.6169 0.6359  1 Ni 2.53, 1 Dy 2.67, 3 Ho 2.68-2.78
Ni 0.1169 0.9751 0.1359  1 Ni 2.53, 1 Dy 2.67, 3 Ho 2.68-2.78
Ni 0.3831 0.5249 0.1359  1 Ni 2.53, 1 Dy 2.67, 3 Ho 2.68-2.78
Ni 0.4751 0.8831 0.6359  1 Ni 2.53, 1 Dy 2.67, 3 Ho 2.68-2.78
Ni 0.5249 0.1169 0.3641  1 Ni 2.53, 1 Dy 2.67, 3 Ho 2.68-2.78
Ni 0.6169 0.4751 0.8641  1 Ni 2.53, 1 Dy 2.67, 3 Ho 2.68-2.78
Ni 0.8831 0.0249 0.8641  1 Ni 2.53, 1 Dy 2.67, 3 Ho 2.68-2.78
Ni 0.9751 0.3831 0.3641  1 Ni 2.53, 1 Dy 2.67, 3 Ho 2.68-2.78

Values from the calculation:
Its total energy is -5.391 eV/atom. The calculation puts the energy of formation from the pure elements at -276 meV per atom. The crystal system is tetragonal.

***

An optimized crystal structure of SmLu3Os. Source: Alexandria via LeMat-Bulk, functional PBE.

Lattice parameters (Å, degrees): 5.3277 5.3277 5.3277 90.00 90.00 90.00
With the nearest neighbours (Å) after each atom.
Positions (direct):
Sm 0.0000 0.0000 0.0000  12 Lu 3.77
Lu 0.0000 0.5000 0.5000  2 Os 2.66
Lu 0.5000 0.0000 0.5000  2 Os 2.66
Lu 0.5000 0.5000 0.0000  2 Os 2.66
Os 0.5000 0.5000 0.5000  6 Lu 2.66

Values from the calculation:
Its total energy is -5.951 eV/atom. The calculation puts the energy of formation from the pure elements at -49 meV per atom. The crystal system is cubic.